The following is a GGA-PBE calculation of a relaxed LiTb2Zr crystal, from the Alexandria database.

Summary:
E above lowest polymorph	99	meV/atom
electronic total energy	-4.754	eV per atom
Fermi-level density of states	4.6	states/eV/cell
energy of formation from the pure elements	0.18	eV per atom

Cell and atoms, written as POSCAR:
```
LiTb2Zr
1.0
-1.6285 2.6177 1.5270
1.0050 -2.2614 4.9482
4.7688 2.7883 0.3057
Li Zr Tb
1 1 2
Direct
0.5000 0.0000 0.0000
0.5000 0.5000 0.5000
0.0000 0.5000 0.0000
0.0000 0.0000 0.5000
```